VASP calculation (PBE-GGA) on a relaxed structure of Er4TmMg.

The structure belongs to space group C2/c (No. 15); the cell edges are 10.4061, 6.0391 and 11.6918 Å and the angles 90.00°, 107.32° and 90.00°. The distinct sites, in fractional coordinates, are Er at (0.0820, 0.2470, 0.9998), Er at (0.1670, 0.4186, 0.7502), Tm at (0.2500, 0.2500, 0.5000) and Mg at (0.0000, 0.0827, 0.2500).

For the calculated volume, the calculation gives 701.4 Å³ per cell. As for the distance to the lowest polymorph of the same formula: 39 meV/atom.

VASP calculation (PBE-GGA) on a relaxed structure of Er8Tm6Mg.

The structure belongs to space group R-3 (No. 148, hexagonal axes); the cell edges are 8.8791, 8.8791 and 20.0604 Å and the angles 90.00°, 90.00° and 120.00°. The distinct sites, in fractional coordinates, are Er at (0.0000, 0.0000, 0.0758), Er at (0.0815, 0.5280, 0.3105), Tm at (0.0710, 0.8185, 0.2054) and Mg at (0.0000, 0.0000, 0.5000).

For the calculated volume, the calculation gives 1369.7 Å³ per cell. As for the distance to the lowest polymorph of the same formula: 0 meV/atom.

VASP calculation (PBE-GGA) on a relaxed structure of ErTm7Mg4.

The structure belongs to space group C2/m (No. 12); the cell edges are 13.6410, 5.6169 and 11.0276 Å and the angles 90.00°, 123.73° and 90.00°. The distinct sites, in fractional coordinates, are Er at (0.0000, 0.0000, 0.0000), Tm at (0.0000, 0.5000, 0.0000), Tm at (0.0564, 0.0000, 0.3824), Tm at (0.1794, 0.5000, 0.6201), Tm at (0.2210, 0.0000, 0.8820), Mg at (0.0620, 0.5000, 0.7800) and Mg at (0.1871, 0.5000, 0.3370).

The calculation puts the total energy at -78.18 eV for the cell shown. For the calculated volume, the calculation gives 702.7 Å³ per cell.

VASP calculation (PBE-GGA) on a relaxed structure of ErTm3Mg7.

The structure belongs to space group Cmcm (No. 63); the cell edges are 3.2799, 22.2898 and 16.3098 Å and the angles 90.00°, 90.00° and 90.00°. The distinct sites, in fractional coordinates, are Er at (0.0000, 0.0130, 0.2500), Tm at (0.0000, 0.1178, 0.5314), Tm at (0.0000, 0.2361, 0.2500), Mg at (0.0000, 0.2612, 0.5758), Mg at (0.0000, 0.3756, 0.6574), Mg at (0.0000, 0.3827, 0.2500) and Mg at (0.0000, 0.4945, 0.5843).

For the calculated volume, the calculation gives 1192.4 Å³ per cell. As for the distance to the lowest polymorph of the same formula: 0 meV/atom.

VASP calculation (PBE-GGA) on a relaxed structure of Er3Tm4Mg4.

The structure belongs to space group Immm (No. 71); the cell edges are 5.3877, 6.8044 and 17.2079 Å and the angles 90.00°, 90.00° and 90.00°. The distinct sites, in fractional coordinates, are Er at (0.0000, 0.0000, 0.0000), Er at (0.0000, 0.5000, 0.1076), Tm at (0.0000, 0.2589, 0.3136), Mg at (0.0000, 0.0000, 0.1692) and Mg at (0.0000, 0.2198, 0.5000).

The calculation puts the total energy at -73.15 eV for the cell shown. For the calculated volume, the calculation gives 630.8 Å³ per cell.

VASP calculation (PBE-GGA) on a relaxed structure of Er4TmMg7.

The structure belongs to space group C2/m (No. 12); the cell edges are 11.4003, 5.6044 and 11.5177 Å and the angles 90.00°, 115.66° and 90.00°. The distinct sites, in fractional coordinates, are Er at (0.0689, 0.0000, 0.3216), Er at (0.1616, 0.5000, 0.7786), Tm at (0.0000, 0.5000, 0.0000), Mg at (0.0000, 0.0000, 0.0000), Mg at (0.1260, 0.5000, 0.4944), Mg at (0.2027, 0.0000, 0.9231) and Mg at (0.2459, 0.0000, 0.6791).

For the calculated volume, the calculation gives 663.3 Å³ per cell. As for the distance to the lowest polymorph of the same formula: 186 meV/atom.

VASP calculation (PBE-GGA) on a relaxed structure of ErTm6Mg12.

The structure belongs to space group R-3m (No. 166, hexagonal axes); the cell edges are 14.2079, 14.2079 and 9.5685 Å and the angles 90.00°, 90.00° and 120.00°. The distinct sites, in fractional coordinates, are Er at (0.0000, 0.0000, 0.0000), Tm at (0.0545, 0.5272, 0.2076), Mg at (0.0000, 0.3952, 0.5000) and Mg at (0.0711, 0.1422, 0.2738).

The calculation puts the total energy at -133.46 eV for the cell shown. For the calculated volume, the calculation gives 1672.8 Å³ per cell.

VASP calculation (PBE-GGA) on a relaxed structure of Er2TmMg9.

The structure belongs to space group R-3m (No. 166, hexagonal axes); the cell edges are 6.0130, 6.0130 and 28.9247 Å and the angles 90.00°, 90.00° and 120.00°. The distinct sites, in fractional coordinates, are Er at (0.0000, 0.0000, 0.1435), Tm at (0.0000, 0.0000, 0.0000), Mg at (0.0000, 0.0000, 0.3342), Mg at (0.0000, 0.0000, 0.5000) and Mg at (0.0053, 0.5027, 0.9157).

For the calculated volume, the calculation gives 905.7 Å³ per cell. As for the distance to the lowest polymorph of the same formula: 39 meV/atom.